# 1
Entry from Alexandria via LeMat-Bulk: a relaxed LiMg5In2 crystal (PBE).

Calculated values
* E above lowest polymorph: 0.0916 eV per atom
* density of states at the Fermi level: 0.6335 states/eV per atom
* M_tot: 0.00 μB per cell
* calculated formation energy: -0.02 eV/atom

a b c (Å): 4.8142 4.8142 18.9167
angles (deg): 90.00 90.00 120.00
With the nearest neighbours (Å) after each atom.
Element x y z (fractional)
Li 0.3333 0.6667 0.2500  2 In 2.71, 3 Mg 2.78
Li 0.6667 0.3333 0.7500  2 In 2.71, 3 Mg 2.78
Mg 0.0000 0.0000 0.1634  3 In 2.98, 3 Li 3.23, 4 Mg 3.23-3.28
Mg 0.0000 0.0000 0.3366  3 In 2.98, 3 Li 3.23, 4 Mg 3.23-3.28
Mg 0.0000 0.0000 0.6634  3 In 2.98, 4 Mg 3.23-3.28, 3 Li 3.23
Mg 0.0000 0.0000 0.8366  3 In 2.98, 4 Mg 3.23-3.28, 3 Li 3.23
Mg 0.3333 0.6667 0.5501  4 In 2.97-2.98
Mg 0.3333 0.6667 0.7500  3 Li 2.78
Mg 0.3333 0.6667 0.9499  4 In 2.97-2.98
Mg 0.6667 0.3333 0.0501  4 In 2.97-2.98
Mg 0.6667 0.3333 0.2500  3 Li 2.78
Mg 0.6667 0.3333 0.4499  4 In 2.97-2.98
In 0.3333 0.6667 0.1068  1 Li 2.71, 7 Mg 2.97-2.98
In 0.3333 0.6667 0.3932  1 Li 2.71, 7 Mg 2.97-2.98
In 0.6667 0.3333 0.6068  1 Li 2.71, 7 Mg 2.97-2.98
In 0.6667 0.3333 0.8932  1 Li 2.71, 7 Mg 2.97-2.98

---

# 2
Entry from Alexandria via LeMat-Bulk: a relaxed LiMg6In3 crystal (PBE).

Calculated values
* E above lowest polymorph: 0.0287 eV per atom
* density of states at the Fermi level: 0.3575 states/eV per atom
* M_tot: 0.00 μB per cell
* calculated formation energy: -0.04 eV/atom

a b c (Å): 11.5578 3.2058 13.1788
angles (deg): 90.00 107.97 90.00
With the nearest neighbours (Å) after each atom.
Element x y z (fractional)
Li 0.0803 0.2500 0.1948  1 In 2.83, 6 Mg 2.88-3.11
Li 0.9197 0.7500 0.8052  1 In 2.83, 6 Mg 2.88-3.11
Mg 0.1313 0.7500 0.0190  3 Li 3.02-3.11, 8 Mg 3.18-3.37, 2 In 3.30
Mg 0.1486 0.2500 0.8156  3 In 3.01-3.15, 2 Li 3.06, 7 Mg 3.12-3.30
Mg 0.2112 0.2500 0.6013  4 In 2.94-3.11, 7 Mg 3.12-3.27
Mg 0.2597 0.7500 0.4019  5 In 3.18-3.37, 6 Mg 3.21-3.27, 2 Li 3.29
Mg 0.3366 0.2500 0.2199  1 Li 2.88, 3 In 2.99-3.15, 2 Mg 3.21
Mg 0.3911 0.7500 0.7978  5 In 3.11-3.36, 7 Mg 3.21-3.30
Mg 0.6089 0.2500 0.2022  5 In 3.11-3.36, 7 Mg 3.21-3.30
Mg 0.6634 0.7500 0.7801  1 Li 2.88, 3 In 2.99-3.15, 2 Mg 3.21
Mg 0.7403 0.2500 0.5981  5 In 3.18-3.37, 6 Mg 3.21-3.27, 2 Li 3.29
Mg 0.7888 0.7500 0.3987  4 In 2.94-3.11, 7 Mg 3.12-3.27
Mg 0.8514 0.7500 0.1844  3 In 3.01-3.15, 2 Li 3.06, 7 Mg 3.12-3.30
Mg 0.8687 0.2500 0.9810  3 Li 3.02-3.11, 8 Mg 3.18-3.37, 2 In 3.30
In 0.0134 0.2500 0.3839  1 Li 2.83, 5 Mg 3.06-3.15
In 0.3752 0.2500 0.0056  7 Mg 2.99-3.30, 4 In 3.21-3.34
In 0.4665 0.2500 0.6027  4 Mg 2.94-3.18, 2 In 3.21
In 0.5335 0.7500 0.3973  4 Mg 2.94-3.18, 2 In 3.21
In 0.6248 0.7500 0.9944  7 Mg 2.99-3.30, 4 In 3.21-3.34
In 0.9866 0.7500 0.6161  1 Li 2.83, 5 Mg 3.06-3.15

---

# 3
Entry from Alexandria via LeMat-Bulk: a relaxed Li2Mg4In crystal (PBE).

Calculated values
* E above lowest polymorph: 0.0290 eV per atom
* density of states at the Fermi level: 0.3651 states/eV per atom
* M_tot: 0.00 μB per cell
* calculated formation energy: -0.05 eV/atom

a b c (Å): 7.6349 5.6442 7.9953
angles (deg): 90.00 115.79 90.00
With the nearest neighbours (Å) after each atom.
Element x y z (fractional)
Li 0.0349 0.2500 0.4283  1 In 2.85, 3 Mg 2.97-3.16, 3 Li 3.09-3.18
Li 0.1930 0.7500 0.9993  1 In 2.91, 6 Mg 3.00-3.15, 1 Li 3.09
Li 0.8070 0.2500 0.0007  1 In 2.91, 6 Mg 3.00-3.15, 1 Li 3.09
Li 0.9651 0.7500 0.5717  1 In 2.85, 3 Mg 2.97-3.16, 3 Li 3.09-3.18
Mg 0.2435 0.2500 0.1894  1 In 2.95, 4 Li 2.97-3.15, 3 Mg 3.10-3.15
Mg 0.3744 0.0011 0.7780  2 Mg 2.81-2.84, 1 In 3.02, 1 Li 3.03
Mg 0.3744 0.4989 0.7780  2 Mg 2.81-2.84, 1 In 3.02, 1 Li 3.03
Mg 0.3964 0.7500 0.4278  1 In 2.92, 1 Li 3.09, 7 Mg 3.10-3.21
Mg 0.6036 0.2500 0.5722  1 In 2.92, 1 Li 3.09, 7 Mg 3.10-3.21
Mg 0.6256 0.5011 0.2220  2 Mg 2.81-2.84, 1 In 3.02, 1 Li 3.03
Mg 0.6256 0.9989 0.2220  2 Mg 2.81-2.84, 1 In 3.02, 1 Li 3.03
Mg 0.7565 0.7500 0.8106  1 In 2.95, 4 Li 2.97-3.15, 3 Mg 3.10-3.15
In 0.0263 0.2500 0.7811  2 Li 2.85-2.91, 4 Mg 2.92-3.02
In 0.9737 0.7500 0.2189  2 Li 2.85-2.91, 4 Mg 2.92-3.02

---

# 4
Entry from Alexandria via LeMat-Bulk: a relaxed Li2Mg5In5 crystal (PBE).

Calculated values
* E above lowest polymorph: 0.0000 eV per atom
* density of states at the Fermi level: 0.3429 states/eV per atom
* M_tot: 0.00 μB per cell
* calculated formation energy: -0.13 eV/atom

a b c (Å): 7.1013 7.1013 10.0711
angles (deg): 115.02 115.02 36.28
With the nearest neighbours (Å) after each atom.
Element x y z (fractional)
Li 0.0779 0.0779 0.2504  5 Mg 3.08-3.20, 7 In 3.10-3.29
Li 0.9221 0.9221 0.7496  5 Mg 3.08-3.20, 7 In 3.10-3.29
Mg 0.0000 0.0000 0.5000  2 Li 3.13, 8 In 3.15-3.21, 2 Mg 3.22
Mg 0.1611 0.1611 0.9984  2 Li 3.08-3.20, 5 In 3.11-3.13, 5 Mg 3.18-3.27
Mg 0.2539 0.2539 0.7489  6 In 3.08-3.20, 2 Li 3.17, 4 Mg 3.18-3.27
Mg 0.7461 0.7461 0.2511  6 In 3.08-3.20, 2 Li 3.17, 4 Mg 3.18-3.27
Mg 0.8389 0.8389 0.0016  2 Li 3.08-3.20, 5 In 3.11-3.13, 5 Mg 3.18-3.27
In 0.3362 0.3362 0.5082  5 Mg 3.08-3.20, 3 Li 3.10-3.29, 4 In 3.16-3.25
In 0.4073 0.4073 0.2428  7 Mg 3.11-3.21, 2 Li 3.17, 3 In 3.20-3.25
In 0.5000 0.5000 0.0000  6 Mg 3.11-3.15, 4 Li 3.16, 2 In 3.20
In 0.5927 0.5927 0.7572  7 Mg 3.11-3.21, 2 Li 3.17, 3 In 3.20-3.25
In 0.6638 0.6638 0.4918  5 Mg 3.08-3.20, 3 Li 3.10-3.29, 4 In 3.16-3.25

---

# 5
Entry from Alexandria via LeMat-Bulk: a relaxed Li2Mg9In crystal (PBE).

Calculated values
* density of states at the Fermi level: 0.3698 states/eV per atom
* M_tot: 0.00 μB per cell
* calculated formation energy: -0.04 eV/atom

a b c (Å): 5.1452 7.5410 7.8488
angles (deg): 66.53 76.99 72.41
With the nearest neighbours (Å) after each atom.
Element x y z (fractional)
Li 0.0950 0.2391 0.0950  7 Mg 2.95-3.17, 1 In 2.98
Li 0.9050 0.7609 0.9050  7 Mg 2.95-3.17, 1 In 2.98
Mg 0.1468 0.4940 0.6903  2 Li 2.95-2.99, 6 Mg 3.04-3.15
Mg 0.2645 0.7439 0.2628  1 In 3.03, 9 Mg 3.04-3.31, 1 Li 3.33
Mg 0.3120 0.9951 0.8476  3 Li 2.98-3.06, 6 Mg 3.04-3.33
Mg 0.4184 0.2506 0.4225  9 Mg 3.06-3.37, 2 In 3.06-3.09, 1 Li 3.40
Mg 0.5000 0.5000 0.0000  4 Li 3.06-3.17, 8 Mg 3.10-3.37
Mg 0.5816 0.7494 0.5775  9 Mg 3.06-3.37, 2 In 3.06-3.09, 1 Li 3.40
Mg 0.6880 0.0049 0.1524  3 Li 2.98-3.06, 6 Mg 3.04-3.33
Mg 0.7355 0.2561 0.7372  1 In 3.03, 9 Mg 3.04-3.31, 1 Li 3.33
Mg 0.8532 0.5060 0.3097  2 Li 2.95-2.99, 6 Mg 3.04-3.15
In 0.0000 0.0000 0.5000  2 Li 2.98, 6 Mg 3.03-3.09

---

# 6
Entry from Alexandria via LeMat-Bulk: a relaxed LiMg2In crystal (PBE).

Calculated values
* density of states at the Fermi level: 0.2055 states/eV per atom
* M_tot: 0.00 μB per cell
* calculated formation energy: -0.13 eV/atom

a b c (Å): 3.6727 3.6727 6.3818
angles (deg): 90.00 90.00 90.00
With the nearest neighbours (Å) after each atom.
Element x y z (fractional)
Li 0.0000 0.0000 0.0000  4 In 2.99, 6 Mg 3.04-3.26
Mg 0.0000 0.0000 0.5115  4 In 3.07, 4 Mg 3.10, 2 Li 3.12-3.26
Mg 0.5000 0.5000 0.2473  4 Li 3.04, 2 In 3.06-3.32, 4 Mg 3.10
In 0.5000 0.5000 0.7674  4 Li 2.99, 6 Mg 3.06-3.32

---

# 7
Entry from Alexandria via LeMat-Bulk: a relaxed LiMg3In6 crystal (PBE).

Calculated values
* E above lowest polymorph: 0.1439 eV per atom
* density of states at the Fermi level: 0.2725 states/eV per atom
* M_tot: 0.00 μB per cell
* calculated formation energy: 0.09 eV/atom

a b c (Å): 10.5507 10.5507 10.5507
angles (deg): 118.95 118.95 118.95
With the nearest neighbours (Å) after each atom.
Element x y z (fractional)
Li 0.0000 0.0000 0.0000  9 In 2.92-3.12, 2 Li 3.27
Mg 0.3061 0.8201 0.8201  4 In 2.91-3.05
Mg 0.8201 0.3061 0.8201  4 In 2.91-3.05
Mg 0.8201 0.8201 0.3061  4 In 2.91-3.05
In 0.2024 0.2024 0.9261  2 Mg 2.92-3.05, 1 Li 2.92, 2 In 3.08
In 0.2024 0.9261 0.2024  2 Mg 2.92-3.05, 1 Li 2.92, 2 In 3.08
In 0.4349 0.4349 0.6846  2 Mg 2.91-3.04, 2 Li 3.06-3.12, 2 In 3.08
In 0.4349 0.6846 0.4349  2 Mg 2.91-3.04, 2 Li 3.06-3.12, 2 In 3.08
In 0.6846 0.4349 0.4349  2 Mg 2.91-3.04, 2 Li 3.06-3.12, 2 In 3.08
In 0.9261 0.2024 0.2024  2 Mg 2.92-3.05, 1 Li 2.92, 2 In 3.08

---

# 8
Entry from Alexandria via LeMat-Bulk: a relaxed LiMg2In9 crystal (PBE).

Calculated values
* density of states at the Fermi level: 0.3130 states/eV per atom
* M_tot: 0.00 μB per cell
* calculated formation energy: -0.07 eV/atom

a b c (Å): 4.6696 4.6696 13.6243
angles (deg): 90.00 90.00 90.00
With the nearest neighbours (Å) after each atom.
Element x y z (fractional)
Li 0.0000 0.0000 0.0000  12 In 3.22-3.30
Mg 0.0000 0.0000 0.3288  12 In 3.25-3.30
Mg 0.0000 0.0000 0.6712  12 In 3.25-3.30
In 0.0000 0.5000 0.1624  8 In 3.22-3.30, 2 Li 3.22, 2 Mg 3.25
In 0.0000 0.5000 0.5000  8 In 3.28-3.30, 4 Mg 3.30
In 0.0000 0.5000 0.8376  8 In 3.22-3.30, 2 Li 3.22, 2 Mg 3.25
In 0.5000 0.0000 0.1624  8 In 3.22-3.30, 2 Li 3.22, 2 Mg 3.25
In 0.5000 0.0000 0.5000  8 In 3.28-3.30, 4 Mg 3.30
In 0.5000 0.0000 0.8376  8 In 3.22-3.30, 2 Li 3.22, 2 Mg 3.25
In 0.5000 0.5000 0.0000  8 In 3.22, 4 Li 3.30
In 0.5000 0.5000 0.3307  8 In 3.27-3.28, 4 Mg 3.30
In 0.5000 0.5000 0.6693  8 In 3.27-3.28, 4 Mg 3.30